VReO4: optimized geometry, PBE+U.

- Space-group type: No. 12
- Energy: -100.48 eV for the cell shown
- Offset from the most stable computed form: 0.0000 eV/atom
- Total magnetization: 1.92 μB per formula unit

```
VReO4
1.0
4.754 -2.889 0.000
4.754 2.889 0.000
-0.155 0.000 4.775
V Re O
2 2 8
direct
0.234 0.234 0.011
0.766 0.766 0.989
0.280 0.720 0.500
0.720 0.280 0.500
0.092 0.092 0.315
0.118 0.596 0.205
0.384 0.384 0.715
0.404 0.882 0.795
0.596 0.118 0.205
0.616 0.616 0.285
0.882 0.404 0.795
0.908 0.908 0.685
```